First-principles (GGA-PBE) data for LuMgAu2 after structural relaxation, as listed in OQMD.

Cell lengths 4.8571, 4.8571, 7.8899 Å; angles 90.00, 90.00, 120.00 degrees
Sites, in units of the cell vectors:
1 Au 0.3333 0.6667 0.0781
2 Au 0.6667 0.3333 0.9219
3 Au 0.6667 0.3333 0.5781
4 Au 0.3333 0.6667 0.4219
5 Lu 0.0000 0.0000 0.2500
6 Lu 0.0000 0.0000 0.7500
7 Mg 0.6667 0.3333 0.2500
8 Mg 0.3333 0.6667 0.7500

Output
The energy is -3.49 eV per atom.